{"formula": "TmScCdOs", "functional": "PBE", "state": "optimized geometry", "cell": [[-3.261, -0.489, 0.533], [0.172, -2.915, -1.621], [1.573, -3.482, 6.430]], "species": ["Tm", "Sc", "Cd", "Os"], "fractional_positions": [[0.500, 0.500, 0.782], [0.500, 0.500, 0.359], [0.000, 0.000, 0.088], [0.000, 0.000, 0.556]], "energy_ev_per_atom": -6.138, "de_polymorph_kj_per_mol_atoms": 0.0, "formation_enthalpy_0k_ev_per_atom": -0.401, "sg": "P4mm"}